1.
Density functional theory data (PBE) for a relaxed CrFeIr2 crystal.

total DFT energy (no corrections) = -9.034 eV per atom
theoretical density = 15.149 g/cm3
space-group type = P2/m (10)
energy relative to the elements = -0.08 eV per atom

a b c (Å): 2.7224 4.6385 5.2948
angles (deg): 53.81 90.00 90.00
Sites, in units of the cell vectors:
Cr 0.5000 0.5000 0.5000
Fe 0.0000 0.0000 0.5000
Ir 0.0000 0.0000 0.0000
Ir 0.5000 0.5000 0.0000

---

2.
Density functional theory data (PBE) for a relaxed CrFe3Ir crystal.

total DFT energy (no corrections) = -7.596 eV per atom
theoretical density = 9.692 g/cm3
relative energy among the computed polymorphs = 0.00 eV/f.u.
space-group type = Pm-3m (221)
energy relative to the elements = 1.18 eV per atom

a b c (Å): 4.1320 4.1320 4.1320
angles (deg): 90.00 90.00 90.00
Sites, in units of the cell vectors:
Cr 0.0000 0.0000 0.0000
Ir 0.5000 0.5000 0.5000
Fe 0.0000 0.5000 0.0000
Fe 0.0000 0.0000 0.5000
Fe 0.5000 0.0000 0.0000

---

3.
Density functional theory data (PBE) for a relaxed Cr2FeIr9 crystal.

total DFT energy (no corrections) = -9.123 eV per atom
theoretical density = 18.729 g/cm3
space-group type = P4/mmm (123)
energy relative to the elements = -0.17 eV per atom

a b c (Å): 3.8194 3.8194 11.4855
angles (deg): 90.00 90.00 90.00
Sites, in units of the cell vectors:
Cr 0.0000 0.0000 0.3306
Cr 0.0000 0.0000 0.6694
Fe 0.0000 0.0000 0.0000
Ir 0.5000 0.5000 0.0000
Ir 0.5000 0.5000 0.3345
Ir 0.5000 0.5000 0.6655
Ir 0.5000 0.0000 0.1687
Ir 0.5000 0.0000 0.5000
Ir 0.5000 0.0000 0.8313
Ir 0.0000 0.5000 0.1687
Ir 0.0000 0.5000 0.5000
Ir 0.0000 0.5000 0.8313

---

4.
Density functional theory data (PBE) for a relaxed Cr2FeIr4 crystal.

total DFT energy (no corrections) = -8.925 eV per atom
theoretical density = 15.492 g/cm3
relative energy among the computed polymorphs = 0.15 eV/f.u.
space-group type = Cmmm (65)
energy relative to the elements = 0.10 eV per atom

a b c (Å): 3.7840 5.1602 5.1602
angles (deg): 98.90 90.00 90.00
Sites, in units of the cell vectors:
Cr 0.0000 0.7225 0.2775
Cr 0.0000 0.2775 0.7225
Ir 0.0000 0.7936 0.7936
Ir 0.0000 0.2064 0.2064
Ir 0.5000 0.0000 0.5000
Ir 0.5000 0.5000 0.0000
Fe 0.5000 0.5000 0.5000